Computed, not measured: crystalline NaSm4Hg5 at its relaxed geometry at the PBE-GGA level of DFT.

Its symmetry is P4/mmm. As for the total magnetization: 0.0998 μB per atom. The density of states at the Fermi level comes out at 9.393 states/eV per cell. As for the volume: 27.15 Å³/atom. As for the formation energy: -0.420 eV per atom.

a = 3.771 Å, b = 3.771 Å, c = 19.094 Å
α = 90.00°, β = 90.00°, γ = 90.00°
Positions (direct):
Na 0.000 0.000 0.000
Sm 0.000 0.000 0.200
Sm 0.000 0.000 0.400
Sm 0.000 0.000 0.600
Sm 0.000 0.000 0.800
Hg 0.500 0.500 0.104
Hg 0.500 0.500 0.301
Hg 0.500 0.500 0.500
Hg 0.500 0.500 0.699
Hg 0.500 0.500 0.896